Entry 1:
Below is a relaxed TlGaIBr crystal, with properties calculated at the PBE level.

It has space group F-43m (No. 216), with a = 8.118 Å, b = 8.118 Å, c = 8.118 Å, α = 90.00°, β = 90.00° and γ = 90.00°. The asymmetric unit holds Tl at (0.000, 0.000, 0.000), Ga at (0.000, 0.000, 0.500), I at (0.250, 0.250, 0.250) and Br at (0.250, 0.250, 0.750).

As for the uncorrected energy: -10.7 eV per formula unit. The energy relative to the elements, uncorrected comes out at -0.513 eV/atom. For the theoretical density, the calculation gives 5.97 Mg/m³.



Entry 2:
Below is a relaxed TlGaIBr crystal, with properties calculated at the PBE level.

It has space group Cm (No. 8), with a = 8.390 Å, b = 4.826 Å, c = 9.156 Å, α = 90.00°, β = 107.91° and γ = 90.00°. The asymmetric unit holds Tl at (0.000, 0.000, 0.000), Ga at (0.473, 0.000, 0.418), I at (0.094, 0.500, 0.781) and Br at (0.259, 0.500, 0.279).

As for the uncorrected energy: -10.7 eV per formula unit. The energy relative to the elements, uncorrected comes out at -0.530 eV/atom. For the theoretical density, the calculation gives 4.53 Mg/m³.



Entry 3:
Below is a relaxed TlGaIBr2 crystal, with properties calculated at the PBE level.

It has space group P4/mmm (No. 123), with a = 5.377 Å, b = 5.377 Å, c = 5.909 Å, α = 90.00°, β = 90.00° and γ = 90.00°. The asymmetric unit holds Tl at (0.000, 0.000, 0.000), Ga at (0.500, 0.500, 0.500), I at (0.500, 0.500, 0.000) and Br at (0.000, 0.500, 0.500).

As for the uncorrected energy: -13.3 eV per formula unit. The energy relative to the elements, uncorrected comes out at -0.604 eV/atom. For the theoretical density, the calculation gives 5.45 Mg/m³.



Entry 4:
Below is a relaxed YGaI2Br crystal, with properties calculated at the PBE level.

It has space group P4/mmm (No. 123), with a = 5.798 Å, b = 5.798 Å, c = 6.377 Å, α = 90.00°, β = 90.00° and γ = 90.00°. The asymmetric unit holds Y at (0.000, 0.000, 0.000), Ga at (0.000, 0.000, 0.500), I at (0.000, 0.500, 0.000) and Br at (0.500, 0.500, 0.500).

As for the uncorrected energy: -16.9 eV per formula unit. The energy relative to the elements, uncorrected comes out at -0.528 eV/atom. For the theoretical density, the calculation gives 3.81 Mg/m³.



Entry 5:
Below is a relaxed ZnGaIBr2 crystal, with properties calculated at the PBE level.

It has space group P4/mmm (No. 123), with a = 5.187 Å, b = 5.187 Å, c = 5.589 Å, α = 90.00°, β = 90.00° and γ = 90.00°. The asymmetric unit holds Zn at (0.000, 0.000, 0.000), Ga at (0.000, 0.000, 0.500), I at (0.500, 0.500, 0.000) and Br at (0.000, 0.500, 0.500).

As for the uncorrected energy: -9.3 eV per formula unit. The energy relative to the elements, uncorrected comes out at -0.027 eV/atom. For the theoretical density, the calculation gives 4.66 Mg/m³.



Entry 6:
Below is a relaxed ZrGa2I4Br2 crystal, with properties calculated at the PBE level.

It has space group C2/m (No. 12), with a = 13.912 Å, b = 8.233 Å, c = 7.232 Å, α = 90.00°, β = 112.72° and γ = 90.00°. The asymmetric unit holds Zr at (0.000, 0.000, 0.000), Ga at (0.246, 0.000, 0.792), I at (0.086, 0.247, 0.822) and Br at (0.175, 0.000, 0.321).

As for the uncorrected energy: -31.0 eV per formula unit. The energy relative to the elements, uncorrected comes out at -0.762 eV/atom. For the theoretical density, the calculation gives 3.90 Mg/m³.



Entry 7:
Below is a relaxed In2GaBr crystal, with properties calculated at the PBE level.

It has space group Pmmm (No. 47), with a = 3.650 Å, b = 5.018 Å, c = 6.025 Å, α = 90.00°, β = 90.00° and γ = 90.00°. The asymmetric unit holds In at (0.000, 0.000, 0.000), In at (0.500, 0.500, 0.500), Ga at (0.000, 0.000, 0.500) and Br at (0.500, 0.500, 0.000).

As for the uncorrected energy: -10.9 eV per formula unit. The energy relative to the elements, uncorrected comes out at -0.170 eV/atom. For the theoretical density, the calculation gives 5.71 Mg/m³.



Entry 8:
Below is a relaxed InGaBr crystal, with properties calculated at the PBE level.

It has space group P-1 (No. 2), with a = 4.099 Å, b = 6.032 Å, c = 8.019 Å, α = 68.20°, β = 89.97° and γ = 89.87°. The asymmetric unit holds In at (0.250, 0.058, 0.337), Ga at (0.250, 0.045, 0.889) and Br at (0.249, 0.500, 0.750).

As for the uncorrected energy: -8.3 eV per formula unit. The energy relative to the elements, uncorrected comes out at -0.296 eV/atom. For the theoretical density, the calculation gives 4.77 Mg/m³.



Entry 9:
Below is a relaxed In2GaBr crystal, with properties calculated at the PBE level.

It has space group I-42d (No. 122), with a = 6.455 Å, b = 6.455 Å, c = 13.692 Å, α = 90.00°, β = 90.00° and γ = 90.00°. The asymmetric unit holds In at (0.191, 0.250, 0.125), Ga at (0.000, 0.000, 0.000) and Br at (0.000, 0.000, 0.500).

As for the uncorrected energy: -10.7 eV per formula unit. The energy relative to the elements, uncorrected comes out at -0.124 eV/atom. For the theoretical density, the calculation gives 4.42 Mg/m³.



Entry 10:
Below is a relaxed InGaBr crystal, with properties calculated at the PBE level.

It has space group P1 (No. 1), with a = 3.920 Å, b = 4.391 Å, c = 11.795 Å, α = 88.24°, β = 89.92° and γ = 64.06°. The asymmetric unit holds In at (0.000, 0.000, 0.000), In at (0.262, 0.472, 0.384), Ga at (0.651, 0.687, 0.601), Ga at (0.963, 0.077, 0.524), Br at (0.674, 0.646, 0.821) and Br at (0.688, 0.617, 0.189).

As for the uncorrected energy: -8.3 eV per formula unit. The energy relative to the elements, uncorrected comes out at -0.303 eV/atom. For the theoretical density, the calculation gives 4.81 Mg/m³.



Entry 11:
Below is a relaxed InGaBr crystal, with properties calculated at the PBE level.

It has space group Pm (No. 6), with a = 3.987 Å, b = 4.012 Å, c = 11.278 Å, α = 90.00°, β = 90.03° and γ = 90.00°. The asymmetric unit holds In at (0.000, 0.000, 0.000), In at (0.497, 0.500, 0.595), Ga at (0.500, 0.500, 0.074), Ga at (0.501, 0.000, 0.229), Br at (0.000, 0.000, 0.404) and Br at (0.998, 0.000, 0.749).

As for the uncorrected energy: -8.3 eV per formula unit. The energy relative to the elements, uncorrected comes out at -0.293 eV/atom. For the theoretical density, the calculation gives 4.87 Mg/m³.



Entry 12:
Below is a relaxed In2GaBr crystal, with properties calculated at the PBE level.

It has space group P-1 (No. 2), with a = 4.602 Å, b = 6.312 Å, c = 9.019 Å, α = 77.02°, β = 75.22° and γ = 89.96°. The asymmetric unit holds In at (0.000, 0.000, 0.000), In at (0.000, 0.500, 0.000), In at (0.381, 0.396, 0.239), Ga at (0.222, 0.567, 0.555) and Br at (0.354, 0.911, 0.290).

As for the uncorrected energy: -10.9 eV per formula unit. The energy relative to the elements, uncorrected comes out at -0.186 eV/atom. For the theoretical density, the calculation gives 5.11 Mg/m³.



The lowest theoretical density belongs to which entry?
YGaI2Br